The following is a PBE calculation of an optimized crystal structure of CoHgTe2, from the Alexandria database.

Properties
Formation energy from raw total energies: 0.52 eV per atom
D(E_F): 3.083 states/eV per cell
Size of the total moment: 2.34 Bohr magnetons per cell

a = 4.000 Å, b = 7.604 Å, c = 3.917 Å
α = 90.00°, β = 90.00°, γ = 90.00°
Positions (direct):
Te 0.500 0.500 0.000
Hg 0.000 0.500 0.500
Te 0.000 0.000 0.000
Co 0.500 0.000 0.500